# 1
Compound: YAlRh
Source: Alexandria
Functional: PBE-GGA
Structure: relaxed

Cell lengths 3.2176, 3.2176, 11.0200 Å; angles 90.00, 90.00, 90.00 degrees
Last column: nearest neighbours and their distance in Å.
Space group I4mm (No. 107)
One atom of each set of equivalent atoms:
1 Y 0.0000 0.0000 0.0000 [2 per cell]  4 Rh 3.01, 5 Al 3.20-3.24, 4 Y 3.22
2 Al 0.0000 0.0000 0.7099 [2 per cell]  4 Rh 2.58
3 Rh 0.0000 0.0000 0.3207 [2 per cell]  4 Al 2.58

Computed properties:
energy relative to the elements	-2.2	eV per formula unit
energy	-6.57	eV/atom

***

# 2
Compound: YAl2Rh
Source: Alexandria
Functional: PBE-GGA
Structure: relaxed

Cell lengths 3.2607, 3.2607, 25.7082 Å; angles 90.00, 90.00, 120.00 degrees
Last column: nearest neighbours and their distance in Å.
Space group R-3m (No. 166, hexagonal axes)
One atom of each set of equivalent atoms:
1 Y 0.0000 0.0000 0.0000 [3 per cell]  6 Al 3.19, 6 Y 3.26
2 Al 0.0000 0.0000 0.2334 [6 per cell]  3 Rh 2.55
3 Rh 0.0000 0.0000 0.5000 [3 per cell]  6 Al 2.55

Computed properties:
energy relative to the elements	-1.3	eV per formula unit
energy	-5.65	eV/atom

***

# 3
Compound: YAl10Rh2
Source: Alexandria
Functional: PBE-GGA
Structure: relaxed

Cell lengths 9.0481, 10.2652, 9.1649 Å; angles 90.00, 90.00, 90.00 degrees
Last column: nearest neighbours and their distance in Å.
Space group Cmcm (No. 63)
One atom of each set of equivalent atoms:
1 Y 0.0000 0.1279 0.2500 [4 per cell]  14 Al 3.15-3.31, 4 Rh 3.46
2 Al 0.0000 0.1530 0.6018 [8 per cell]  2 Rh 2.64, 8 Al 2.70-2.95
3 Al 0.0000 0.3781 0.0513 [8 per cell]  2 Rh 2.66, 6 Al 2.67-2.86
4 Al 0.1476 0.3721 0.7500 [8 per cell]  7 Al 2.67-2.95, 2 Rh 2.77
5 Al 0.2209 0.0000 0.0000 [8 per cell]  2 Rh 2.58, 6 Al 2.70-2.86
6 Al 0.2261 0.3682 0.2500 [8 per cell]  2 Rh 2.60, 8 Al 2.70-2.83
7 Rh 0.2500 0.2500 0.0000 [8 per cell]  10 Al 2.58-2.77

Computed properties:
energy relative to the elements	-7.3	eV per formula unit
energy	-5.07	eV/atom

***

# 4
Compound: Y2AlRh2
Source: Alexandria
Functional: PBE-GGA
Structure: relaxed

Cell lengths 7.0112, 7.0112, 4.1414 Å; angles 90.00, 90.00, 90.00 degrees
Last column: nearest neighbours and their distance in Å.
Space group P4/mbm (No. 127)
One atom of each set of equivalent atoms:
1 Y 0.1719 0.3281 0.0000 [4 per cell]  6 Rh 2.79-3.02
2 Al 0.0000 0.0000 0.5000 [2 per cell]  4 Rh 2.71
3 Rh 0.1398 0.6398 0.5000 [4 per cell]  2 Al 2.71, 1 Rh 2.77, 6 Y 2.79-3.02

Computed properties:
energy relative to the elements	-3.9	eV per formula unit
energy	-7.05	eV/atom